[1]
Rb3BiS: optimized geometry, GGA-PBE.

Calculated values
Magnetization in μB/f.u.: 2.0
VASP energy in eV/cell: -13.004
Calculated volume in Å³/atom: 52.33
Formation energy without anion corrections in eV per atom: -0.419
Energy above the most stable polymorph in this dataset in eV per atom: 0.000

Cell lengths 6.396, 6.396, 6.396 Å; angles 90.00, 90.00, 90.00 degrees
Fractional coordinates of all 5 atoms:
S (0.000, 0.000, 0.000)
Bi (0.500, 0.500, 0.500)
Rb (0.000, 0.500, 0.000)
Rb (0.000, 0.000, 0.500)
Rb (0.500, 0.000, 0.000)

[2]
AcSm5Y4: optimized geometry, GGA-PBE.

Calculated values
ΔE_f in kJ per mole of atoms: 2.9
Magnetization in μB/f.u.: 0.0
VASP energy in eV/cell: -53.256
Calculated volume in Å³/atom: 34.20
Energy above the most stable polymorph in this dataset in eV per atom: 0.000

Cell lengths 3.662, 3.662, 25.501 Å; angles 90.00, 90.00, 90.00 degrees
Fractional coordinates of all 10 atoms:
Ac (0.000, 0.000, 0.000)
Sm (0.500, 0.500, 0.108)
Sm (0.500, 0.500, 0.305)
Sm (0.500, 0.500, 0.500)
Sm (0.500, 0.500, 0.695)
Sm (0.500, 0.500, 0.892)
Y (0.000, 0.000, 0.207)
Y (0.000, 0.000, 0.402)
Y (0.000, 0.000, 0.598)
Y (0.000, 0.000, 0.793)

[3]
La5Ag24: optimized geometry, GGA-PBE.

Calculated values
ΔE_f in kJ per mole of atoms: -10.4
Magnetization in μB/f.u.: 0.0
VASP energy in eV/cell: -96.207
Calculated volume in Å³/atom: 21.09

Cell lengths 9.262, 9.262, 9.262 Å; angles 109.47, 109.47, 109.47 degrees
Fractional coordinates of all 29 atoms:
Ag (0.190, 0.376, 0.000)
Ag (0.376, 0.190, 0.000)
Ag (0.810, 0.810, 0.186)
Ag (0.624, 0.624, 0.814)
Ag (0.810, 0.186, 0.810)
Ag (0.624, 0.814, 0.624)
Ag (0.376, 0.000, 0.190)
Ag (0.190, 0.000, 0.376)
Ag (0.000, 0.376, 0.190)
Ag (0.000, 0.190, 0.376)
Ag (0.814, 0.624, 0.624)
Ag (0.186, 0.810, 0.810)
Ag (0.670, 0.397, 0.000)
Ag (0.397, 0.670, 0.000)
Ag (0.330, 0.330, 0.727)
Ag (0.603, 0.603, 0.273)
Ag (0.330, 0.727, 0.330)
Ag (0.603, 0.273, 0.603)
Ag (0.397, 0.000, 0.670)
Ag (0.670, 0.000, 0.397)
Ag (0.000, 0.397, 0.670)
Ag (0.000, 0.670, 0.397)
Ag (0.273, 0.603, 0.603)
Ag (0.727, 0.330, 0.330)
La (0.000, 0.626, 0.000)
La (0.626, 0.000, 0.000)
La (0.000, 0.000, 0.626)
La (0.374, 0.374, 0.374)
La (0.000, 0.000, 0.000)